No. 1
First-principles (PBE-GGA) data for a relaxed CsIrO3 crystal, as listed in OQMD via LeMat-Bulk.

Calculated values
Its spin magnetization is 4.00 Bohr magnetons per cell. The value obtained for the total energy is -5.8370 eV/atom. The calculated density is 5281 kg/m³.

```
CsIrO3
1.0
3.542 2.045 5.400
-3.542 2.045 5.400
0.000 -4.090 5.400
Cs Ir O
2 2 6
Cartesian
0.000 0.000 0.000
0.000 0.000 8.099
0.000 0.000 4.050
0.000 0.000 12.149
-0.885 -1.533 4.050
0.885 1.533 12.149
-0.885 1.533 4.050
1.770 0.000 4.050
-1.770 0.000 12.149
0.885 -1.533 12.149
```

=====

No. 2
First-principles (PBE-GGA) data for a relaxed CsIrO3 crystal, as listed in OQMD via LeMat-Bulk.

Calculated values
Its spin magnetization is 8.00 Bohr magnetons per cell. The value obtained for the total energy is -5.8120 eV/atom. The calculated density is 5445 kg/m³.

```
CsIrO3
1.0
6.002 0.000 0.000
0.000 10.684 0.000
0.000 0.000 7.098
Cs Ir O
4 4 12
Cartesian
0.000 0.000 0.000
0.000 5.342 0.000
3.001 0.000 3.549
3.001 5.342 3.549
0.189 2.671 3.505
2.812 8.013 7.054
3.190 2.671 0.044
5.813 8.013 3.593
0.171 1.138 4.384
0.171 4.204 4.384
0.258 2.671 1.736
2.743 8.013 5.285
2.830 6.480 0.835
2.830 9.546 0.835
3.172 1.138 6.263
3.172 4.204 6.263
3.259 2.671 1.813
5.744 8.013 5.362
5.831 6.480 2.714
5.831 9.546 2.714
```

=====

No. 3
First-principles (PBE-GGA) data for a relaxed CsIrO3 crystal, as listed in OQMD via LeMat-Bulk.

Calculated values
Its spin magnetization is 0.01 Bohr magnetons per cell. The value obtained for the total energy is -5.6772 eV/atom. The calculated density is 7697 kg/m³.

```
CsIrO3
1.0
3.841 0.000 0.000
0.000 3.841 0.000
0.000 0.000 5.455
Cs Ir O
1 1 3
Cartesian
0.000 0.000 0.000
1.921 1.921 2.707
0.000 1.921 2.945
1.921 0.000 2.945
1.921 1.921 0.810
```

=====

No. 4
First-principles (PBE-GGA) data for a relaxed CsIr2O4 crystal, as listed in OQMD via LeMat-Bulk.

Calculated values
Its spin magnetization is 1.47 Bohr magnetons per cell. The value obtained for the total energy is -6.1124 eV/atom. The calculated density is 9294 kg/m³.

```
CsIr2O4
1.0
0.000 4.701 4.701
4.701 0.000 4.701
4.701 4.701 0.000
Cs Ir O
2 4 8
Cartesian
1.175 1.175 1.175
8.226 8.226 8.226
4.701 2.350 2.350
2.350 4.701 2.350
2.350 2.350 4.701
4.701 4.701 4.701
2.663 2.663 2.663
4.388 4.388 2.663
4.388 2.663 4.388
6.738 5.013 5.013
2.663 4.388 4.388
5.013 6.738 5.013
5.013 5.013 6.738
6.738 6.738 6.738
```

=====

No. 5
First-principles (PBE-GGA) data for a relaxed CsIrO3 crystal, as listed in OQMD via LeMat-Bulk.

Calculated values
Its spin magnetization is 0.09 Bohr magnetons per cell. The value obtained for the total energy is -4.9506 eV/atom. The calculated density is 7207 kg/m³.

```
CsIrO3
1.0
3.955 0.000 0.000
0.000 3.955 0.000
0.000 0.000 5.495
Cs Ir O
1 1 3
Cartesian
0.000 0.000 0.000
1.978 1.978 2.582
0.000 0.000 2.766
0.000 1.978 2.614
1.978 0.000 2.614
```

=====

No. 6
First-principles (PBE-GGA) data for a relaxed CsIrO3 crystal, as listed in OQMD via LeMat-Bulk.

Calculated values
Its spin magnetization is 3.92 Bohr magnetons per cell. The value obtained for the total energy is -5.5391 eV/atom. The calculated density is 9260 kg/m³.

```
CsIrO3
1.0
5.745 0.000 0.000
0.000 8.105 0.000
0.000 0.000 5.747
Cs Ir O
4 4 12
Cartesian
5.745 2.026 5.745
0.001 6.079 0.002
2.872 2.026 2.875
2.874 6.079 2.872
0.000 0.000 2.874
0.000 4.053 2.874
2.873 0.000 0.000
2.873 4.053 0.000
5.744 2.026 2.876
0.001 6.079 2.871
1.431 0.004 1.431
1.431 4.049 1.431
1.442 8.101 4.305
1.442 4.056 4.305
2.872 2.026 5.744
2.874 6.079 0.003
4.304 0.004 1.442
4.304 4.049 1.442
4.314 8.101 4.316
4.314 4.056 4.316
```

=====

No. 7
First-principles (PBE-GGA) data for a relaxed Cs2Ir2O5 crystal, as listed in OQMD via LeMat-Bulk.

Calculated values
Its spin magnetization is 0.03 Bohr magnetons per cell. The value obtained for the total energy is -5.6110 eV/atom. The calculated density is 8460 kg/m³.

```
Cs2Ir2O5
1.0
3.910 0.000 0.000
0.000 3.910 0.000
0.000 0.000 9.375
Cs Ir O
2 2 5
Cartesian
0.000 0.000 0.000
0.000 0.000 4.688
1.955 1.955 2.164
1.955 1.955 7.211
0.000 1.955 2.364
0.000 1.955 7.011
1.955 0.000 2.364
1.955 0.000 7.011
1.955 1.955 0.000
```

=====

No. 8
First-principles (PBE-GGA) data for a relaxed CsP2IrO7 crystal, as listed in OQMD via LeMat-Bulk.

Calculated values
Its spin magnetization is 0.00 Bohr magnetons per cell. The value obtained for the total energy is -6.7770 eV/atom. The calculated density is 4848 kg/m³.

```
CsP2IrO7
1.0
3.654 -4.074 0.000
3.654 4.074 0.000
-0.334 0.000 5.741
Cs P Ir O
1 2 1 7
Cartesian
0.000 0.000 0.000
2.072 -1.712 2.465
4.903 -1.712 3.276
3.487 1.029 2.870
2.164 2.412 2.027
1.916 1.357 4.245
2.379 -0.368 1.812
4.811 2.412 3.714
5.059 1.357 1.496
4.596 -0.368 3.929
3.487 -2.395 2.870
```